1.
! La2DyPt9 | Alexandria | PBE-GGA | relaxed; values from VASP
&SYSTEM
  ibrav = 0, nat = 12, ntyp = 3
/
ATOMIC_SPECIES
La 138.91 La.upf
Dy 162.50 Dy.upf
Pt 195.08 Pt.upf
ATOMIC_POSITIONS crystal
La 0.139 0.139 0.139
La 0.861 0.861 0.861
Dy 0.000 0.000 0.000
Pt 0.080 0.585 0.585
Pt 0.333 0.333 0.333
Pt 0.415 0.415 0.920
Pt 0.415 0.920 0.415
Pt 0.500 0.500 0.500
Pt 0.585 0.080 0.585
Pt 0.585 0.585 0.080
Pt 0.667 0.667 0.667
Pt 0.920 0.415 0.415
CELL_PARAMETERS angstrom
2.727 1.574 9.025
-2.727 1.574 9.025
0.000 -3.149 9.025
! E_tot ... -79.9 eV per formula unit
! Calculated volume ... 232.49 Å³/f.u.
! Density ... 15.69 g/cm3
! Fermi-level density of states ... 10.245 states/eV per cell
! Space group ... No. 166
! Formation energy from the elements ... -21.3 kcal/mol of atoms

2.
! YEr2Zr | Alexandria | PBE-GGA | relaxed; values from VASP
&SYSTEM
  ibrav = 0, nat = 4, ntyp = 3
/
ATOMIC_SPECIES
Y 88.91 Y.upf
Er 167.26 Er.upf
Zr 91.22 Zr.upf
ATOMIC_POSITIONS crystal
Y 0.000 0.000 0.000
Er 0.000 0.500 0.500
Er 0.500 0.000 0.500
Zr 0.500 0.500 0.000
CELL_PARAMETERS angstrom
4.849 0.000 0.000
0.000 4.849 0.000
0.000 0.000 4.843
! E_tot ... -23.8 eV per formula unit
! Calculated volume ... 113.86 Å³/f.u.
! Density ... 7.51 g/cm3
! Fermi-level density of states ... 5.558 states/eV per cell
! Space group ... No. 123
! Formation energy from the elements ... 2.1 kcal/mol of atoms

3.
! CaTa2Fe | Alexandria | PBE-GGA | relaxed; values from VASP
&SYSTEM
  ibrav = 0, nat = 12, ntyp = 3
/
ATOMIC_SPECIES
Ca 40.08 Ca.upf
Ta 180.95 Ta.upf
Fe 55.84 Fe.upf
ATOMIC_POSITIONS crystal
Ca 0.000 0.000 0.000
Ca 0.333 0.667 0.667
Ca 0.667 0.333 0.333
Ta 0.000 0.000 0.518
Ta 0.000 0.000 0.769
Ta 0.333 0.667 0.185
Ta 0.333 0.667 0.436
Ta 0.667 0.333 0.103
Ta 0.667 0.333 0.851
Fe 0.000 0.000 0.247
Fe 0.333 0.667 0.914
Fe 0.667 0.333 0.580
CELL_PARAMETERS angstrom
3.114 0.000 0.000
-1.557 2.697 0.000
0.000 0.000 27.667
! E_tot ... -32.1 eV per formula unit
! Calculated volume ... 77.44 Å³/f.u.
! Density ... 9.82 g/cm3
! Fermi-level density of states ... 10.998 states/eV per cell
! Space group ... No. 160
! Formation energy from the elements ... 12.2 kcal/mol of atoms